Below is a relaxed structure of SmAg4Bi, with properties calculated at the PBE-GGA level.

Unit cell a=5.731 b=5.731 c=5.731 alpha=60.00 beta=60.00 gamma=60.00
Positions (direct):
Sm (0.000, 0.000, 0.000)
Ag (0.375, 0.375, 0.375)
Ag (0.375, 0.375, 0.876)
Ag (0.375, 0.876, 0.375)
Ag (0.876, 0.375, 0.375)
Bi (0.750, 0.750, 0.750)

Calculated values
Energy of formation from the pure elements, eV/atom: -0.1884


Below is a relaxed structure of Sm6AgBi2, with properties calculated at the PBE-GGA level.

Unit cell a=8.736 b=8.736 c=4.176 alpha=90.00 beta=90.00 gamma=120.00
Positions (direct):
Sm (0.000, 0.404, 0.000)
Sm (0.000, 0.744, 0.500)
Sm (0.256, 0.256, 0.500)
Sm (0.404, 0.000, 0.000)
Sm (0.596, 0.596, 0.000)
Sm (0.744, 0.000, 0.500)
Ag (0.000, 0.000, 0.000)
Bi (0.333, 0.667, 0.500)
Bi (0.667, 0.333, 0.500)

Calculated values
Energy of formation from the pure elements, eV/atom: -0.4554


Below is a relaxed structure of SmAg2Bi2, with properties calculated at the PBE-GGA level.

Unit cell a=12.236 b=12.236 c=4.601 alpha=90.00 beta=90.00 gamma=158.25
Positions (direct):
Sm (0.144, 0.856, 0.750)
Sm (0.856, 0.144, 0.250)
Ag (0.036, 0.964, 0.250)
Ag (0.464, 0.536, 0.250)
Ag (0.536, 0.464, 0.750)
Ag (0.964, 0.036, 0.750)
Bi (0.250, 0.750, 0.250)
Bi (0.383, 0.617, 0.750)
Bi (0.617, 0.383, 0.250)
Bi (0.750, 0.250, 0.750)

Calculated values
Energy of formation from the pure elements, eV/atom: -0.3698


Below is a relaxed structure of Sm3AgBi, with properties calculated at the PBE-GGA level.

Unit cell a=10.055 b=10.055 c=6.262 alpha=91.60 beta=91.60 gamma=102.70
Positions (direct):
Sm (0.011, 0.816, 0.993)
Sm (0.116, 0.560, 0.265)
Sm (0.184, 0.989, 0.507)
Sm (0.291, 0.432, 0.835)
Sm (0.432, 0.291, 0.335)
Sm (0.440, 0.884, 0.235)
Sm (0.560, 0.116, 0.765)
Sm (0.568, 0.709, 0.665)
Sm (0.709, 0.568, 0.165)
Sm (0.816, 0.011, 0.493)
Sm (0.884, 0.440, 0.735)
Sm (0.989, 0.184, 0.007)
Ag (0.266, 0.734, 0.750)
Ag (0.419, 0.581, 0.250)
Ag (0.581, 0.419, 0.750)
Ag (0.734, 0.266, 0.250)
Bi (0.079, 0.267, 0.497)
Bi (0.267, 0.079, 0.997)
Bi (0.733, 0.921, 0.003)
Bi (0.921, 0.733, 0.503)

Calculated values
Energy of formation from the pure elements, eV/atom: -0.3194


Below is a relaxed structure of Sm5Ag2Bi, with properties calculated at the PBE-GGA level.

Unit cell a=8.930 b=8.930 c=8.930 alpha=124.16 beta=124.16 gamma=82.94
Positions (direct):
Sm (0.000, 0.000, 0.000)
Sm (0.007, 0.507, 0.807)
Sm (0.200, 0.007, 0.500)
Sm (0.300, 0.800, 0.807)
Sm (0.493, 0.300, 0.500)
Sm (0.500, 0.500, 0.000)
Sm (0.507, 0.700, 0.500)
Sm (0.700, 0.200, 0.193)
Sm (0.800, 0.993, 0.500)
Sm (0.993, 0.493, 0.193)
Ag (0.135, 0.365, 0.500)
Ag (0.365, 0.865, 0.231)
Ag (0.635, 0.135, 0.769)
Ag (0.865, 0.635, 0.500)
Bi (0.250, 0.250, 0.000)
Bi (0.750, 0.750, 0.000)

Calculated values
Energy of formation from the pure elements, eV/atom: -0.3548


Below is a relaxed structure of Sm8Ag3Bi2, with properties calculated at the PBE-GGA level.

Unit cell a=8.793 b=8.793 c=6.360 alpha=92.32 beta=92.32 gamma=56.66
Positions (direct):
Sm (0.086, 0.086, 0.367)
Sm (0.101, 0.681, 0.138)
Sm (0.319, 0.899, 0.862)
Sm (0.323, 0.323, 0.623)
Sm (0.677, 0.677, 0.377)
Sm (0.681, 0.101, 0.138)
Sm (0.899, 0.319, 0.862)
Sm (0.914, 0.914, 0.633)
Ag (0.333, 0.667, 0.500)
Ag (0.500, 0.500, 0.000)
Ag (0.667, 0.333, 0.500)
Bi (0.258, 0.258, 0.120)
Bi (0.742, 0.742, 0.880)

Calculated values
Energy of formation from the pure elements, eV/atom: -0.2050


Below is a relaxed structure of SrSmAgBi, with properties calculated at the PBE-GGA level.

Unit cell a=5.545 b=5.545 c=5.545 alpha=60.00 beta=60.00 gamma=60.00
Positions (direct):
Sr (0.000, 0.000, 0.000)
Sm (0.500, 0.500, 0.500)
Ag (0.750, 0.750, 0.750)
Bi (0.250, 0.250, 0.250)

Calculated values
Energy of formation from the pure elements, eV/atom: -0.4608


Below is a relaxed structure of TbSmAgBi, with properties calculated at the PBE-GGA level.

Unit cell a=5.354 b=5.354 c=5.354 alpha=60.00 beta=60.00 gamma=60.00
Positions (direct):
Tb (0.000, 0.000, 0.000)
Sm (0.500, 0.500, 0.500)
Ag (0.750, 0.750, 0.750)
Bi (0.250, 0.250, 0.250)

Calculated values
Energy of formation from the pure elements, eV/atom: -0.4489